! AlN, relaxed, DFT GGA-PBE; values from VASP
! Spin magnetization in μB/cell: 0.000
! SG: P4/m, No. 83
! Energy in eV per atom: -7.21
! Mass density in g/cm3: 2.411
! Volume in Å³/cell: 225.9
! Formation energy from raw total energies in meV/atom: -1178
&SYSTEM
  ibrav = 0, nat = 16, ntyp = 2
/
ATOMIC_SPECIES
Al 26.98 Al.upf
N 14.01 N.upf
ATOMIC_POSITIONS crystal
Al 0.7824 0.3712 0.5000
Al 0.2176 0.6288 0.5000
Al 0.3939 0.8830 0.0000
Al 0.6288 0.7824 0.5000
Al 0.1170 0.3939 0.0000
Al 0.8830 0.6061 0.0000
Al 0.3712 0.2176 0.5000
Al 0.6061 0.1170 0.0000
N 0.8970 0.3631 0.0000
N 0.1030 0.6369 0.0000
N 0.2322 0.3900 0.5000
N 0.6369 0.8970 0.0000
N 0.3631 0.1030 0.0000
N 0.6100 0.2322 0.5000
N 0.7678 0.6100 0.5000
N 0.3900 0.7678 0.5000
CELL_PARAMETERS angstrom
8.3589 0.0000 0.0000
0.0000 8.3589 0.0000
0.0000 0.0000 3.2324


! InPbAu3, relaxed, DFT GGA-PBE; values from VASP
! Spin magnetization in μB/cell: 0.000
! SG: Pm-3m, No. 221
! Energy in eV per atom: -2.95
! Mass density in g/cm3: 10.839
! Volume in Å³/cell: 139.9
&SYSTEM
  ibrav = 0, nat = 5, ntyp = 3
/
ATOMIC_SPECIES
Au 196.97 Au.upf
In 114.82 In.upf
Pb 207.20 Pb.upf
ATOMIC_POSITIONS crystal
Au 0.0000 0.0000 0.5000
Au 0.5000 0.0000 0.0000
Au 0.0000 0.5000 0.0000
In 0.0000 0.0000 0.0000
Pb 0.5000 0.5000 0.5000
CELL_PARAMETERS angstrom
5.1908 0.0000 0.0000
0.0000 5.1908 0.0000
0.0000 0.0000 5.1908


! TeAs2Ir, relaxed, DFT GGA-PBE; values from VASP
! Spin magnetization in μB/cell: 0.000
! SG: Cmmm, No. 65
! Energy in eV per atom: -4.74
! Mass density in g/cm3: 10.042
! Volume in Å³/cell: 77.7
! Formation energy from raw total energies in meV/atom: 585
&SYSTEM
  ibrav = 0, nat = 4, ntyp = 3
/
ATOMIC_SPECIES
As 74.92 As.upf
Te 127.60 Te.upf
Ir 192.22 Ir.upf
ATOMIC_POSITIONS crystal
As 0.5000 0.5000 0.0000
As 0.0000 0.0000 0.0000
Te 0.0000 0.5000 0.5000
Ir 0.5000 0.0000 0.5000
CELL_PARAMETERS angstrom
4.7741 0.0828 0.0000
-1.3370 4.5839 0.0000
0.0000 0.0000 3.5310


! Nd2MgAl, relaxed, DFT GGA-PBE; values from VASP
! Spin magnetization in μB/cell: 0.000
! SG: P4/mmm, No. 123
! Energy in eV per atom: -3.95
! Mass density in g/cm3: 5.155
! Volume in Å³/cell: 109.4
&SYSTEM
  ibrav = 0, nat = 4, ntyp = 3
/
ATOMIC_SPECIES
Nd 144.24 Nd.upf
Mg 24.30 Mg.upf
Al 26.98 Al.upf
ATOMIC_POSITIONS crystal
Nd 0.0000 0.5000 0.0000
Nd 0.0000 0.0000 0.5000
Mg 0.5000 0.0000 0.0000
Al 0.5000 0.5000 0.5000
CELL_PARAMETERS angstrom
-1.8566 2.5508 -2.1914
-4.3189 -3.1368 0.0079
-1.7842 2.4677 4.3840